Below is a relaxed structure of PrInRh2, with properties calculated at the PBE level.

extended XYZ file:
```
4
Lattice="4.624 0.000 0.000 0.000 4.624 0.000 0.000 0.000 3.656" Properties=species:S:1:pos:R:3 pbc="T T T"
Pr 0.000 0.000 0.000
In 2.312 2.312 0.000
Rh 0.000 2.312 1.828
Rh 2.312 0.000 1.828
```

Output
Crystal system   tetragonal
Fermi-level density of states   0.57 states/eV/cell
Energy of formation   -0.578 eV/atom